No. 1
# TlAgAs2, optimized geometry, DFT PBE-GGA
data_TlAgAs2
_cell_length_a 7.037
_cell_length_b 7.037
_cell_length_c 7.037
_cell_angle_alpha 90.00
_cell_angle_beta 90.00
_cell_angle_gamma 90.00
_symmetry_space_group_name_H-M 'F m -3 m'
_symmetry_Int_Tables_number 225
_symmetry_space_group_name_Hall '-F 4 2 3'
loop_
_atom_site_label
_atom_site_type_symbol
_atom_site_fract_x
_atom_site_fract_y
_atom_site_fract_z
Tl1 Tl 0.000 0.000 0.000
Ag1 Ag 0.000 0.000 0.500
As1 As 0.250 0.250 0.250
# energy relative to the lowest polymorph listed for this composition = 0.320 eV/atom

***

No. 2
# LaHoNi, optimized geometry, DFT PBE-GGA
data_LaHoNi
_cell_length_a 12.069
_cell_length_b 3.739
_cell_length_c 8.512
_cell_angle_alpha 90.00
_cell_angle_beta 126.86
_cell_angle_gamma 90.00
_symmetry_space_group_name_H-M 'C 1 2/m 1'
_symmetry_Int_Tables_number 12
loop_
_symmetry_equiv_pos_as_xyz
'x,y,z'
'-x,-y,-z'
'-x,y,-z'
'x,-y,z'
'x+1/2,y+1/2,z'
'-x+1/2,-y+1/2,-z'
'-x+1/2,y+1/2,-z'
'x+1/2,-y+1/2,z'
loop_
_atom_site_label
_atom_site_type_symbol
_atom_site_fract_x
_atom_site_fract_y
_atom_site_fract_z
La1 La 0.169 0.000 0.087
Ho1 Ho 0.081 0.500 0.384
Ni1 Ni 0.124 0.000 0.662
# energy relative to the lowest polymorph listed for this composition = 0.000 eV/atom

***

No. 3
# ZnCrW2, optimized geometry, DFT PBE-GGA
data_ZnCrW2
_cell_length_a 9.091
_cell_length_b 2.631
_cell_length_c 4.957
_cell_angle_alpha 90.00
_cell_angle_beta 95.70
_cell_angle_gamma 90.00
_symmetry_space_group_name_H-M 'C 1 m 1'
_symmetry_Int_Tables_number 8
loop_
_symmetry_equiv_pos_as_xyz
'x,y,z'
'x,-y,z'
'x+1/2,y+1/2,z'
'x+1/2,-y+1/2,z'
loop_
_atom_site_label
_atom_site_type_symbol
_atom_site_fract_x
_atom_site_fract_y
_atom_site_fract_z
Zn1 Zn 0.000 0.000 0.000
Cr1 Cr 0.257 0.000 0.760
W1 W 0.003 0.500 0.512
W2 W 0.248 0.500 0.247
# E_tot = -8.83 eV/atom

***

No. 4
# Nd12Tm5Al3, optimized geometry, DFT PBE-GGA
data_Nd12Tm5Al3
_cell_length_a 18.302
_cell_length_b 18.302
_cell_length_c 18.302
_cell_angle_alpha 90.00
_cell_angle_beta 90.00
_cell_angle_gamma 90.00
_symmetry_space_group_name_H-M 'I a -3 d'
_symmetry_Int_Tables_number 230
_symmetry_space_group_name_Hall '-I 4bd 2c 3'
loop_
_atom_site_label
_atom_site_type_symbol
_atom_site_fract_x
_atom_site_fract_y
_atom_site_fract_z
Nd1 Nd 0.009 0.083 0.652
Tm1 Tm 0.000 0.000 0.000
Tm2 Tm 0.000 0.250 0.375
Al1 Al 0.000 0.250 0.125
# E_tot = -3.78 eV/atom

***

No. 5
# HfZn2Ni2, optimized geometry, DFT PBE-GGA
data_HfZn2Ni2
_cell_length_a 6.962
_cell_length_b 6.962
_cell_length_c 2.927
_cell_angle_alpha 90.00
_cell_angle_beta 90.00
_cell_angle_gamma 90.00
_symmetry_space_group_name_H-M 'P 4/m b m'
_symmetry_Int_Tables_number 127
_symmetry_space_group_name_Hall '-P 4 2ab'
loop_
_atom_site_label
_atom_site_type_symbol
_atom_site_fract_x
_atom_site_fract_y
_atom_site_fract_z
Hf1 Hf 0.000 0.000 0.000
Zn1 Zn 0.159 0.341 0.500
Ni1 Ni 0.136 0.636 0.000
# energy relative to the lowest polymorph listed for this composition = 0.059 eV/atom

***

No. 6
# YSe2, optimized geometry, DFT PBE-GGA
data_YSe2
_cell_length_a 4.247
_cell_length_b 14.643
_cell_length_c 5.427
_cell_angle_alpha 90.00
_cell_angle_beta 90.00
_cell_angle_gamma 90.00
_symmetry_space_group_name_H-M 'C m c m'
_symmetry_Int_Tables_number 63
_symmetry_space_group_name_Hall '-C 2c 2'
loop_
_atom_site_label
_atom_site_type_symbol
_atom_site_fract_x
_atom_site_fract_y
_atom_site_fract_z
Y1 Y 0.000 0.161 0.250
Se1 Se 0.000 0.205 0.750
Se2 Se 0.000 0.480 0.750
# formation energy (no corrections) = -1.49 eV/atom

***

no.,ρ (g/cm³),calculated volume (Å³ per atom)
1,8.8,21.8
2,7.8,25.6
3,13.7,14.7
4,5.8,38.3
5,10.0,14.2
6,4.9,28.1